Entry 1:
Crystalline Ta4BeAu at its relaxed geometry, computed with PBE.

Computed properties:
The crystal system is cubic. The total moment is 0.0 μB/cell. Its total energy is -50.56 eV per cell.

The structure in extended XYZ format:
```
6
Lattice="-3.355 -3.057 -2.923 -4.355 2.212 -2.300 -0.213 0.594 -5.361" Properties=species:S:1:pos:R:3 pbc="T T T"
Ta -4.656 -1.638 -5.432
Ta -3.068 0.206 -6.664
Ta -5.161 1.023 -5.117
Ta -2.961 -0.094 -3.955
Be 0.000 0.000 0.000
Au -5.942 -0.188 -7.938
```

Entry 2:
Crystalline TaBeAu2 at its relaxed geometry, computed with PBE.

Computed properties:
The crystal system is tetragonal. The total moment is 0.0 μB/cell. Its total energy is -22.43 eV per cell.

The structure in extended XYZ format:
```
4
Lattice="2.958 0.014 0.000 -0.014 2.959 0.000 0.000 0.000 7.013" Properties=species:S:1:pos:R:3 pbc="T T T"
Be 1.472 1.486 1.753
Au 0.000 0.000 0.298
Au 0.000 0.000 3.209
Ta 1.472 1.486 5.260
```

Number 1 is which compound? Ta4BeAu